No. 1
BaLa2CoPb: optimized geometry, PBE.

abc: 5.356 5.356 5.660
angles: 90.00 90.00 90.00
Sites, in units of the cell vectors:
Pb (0.500, 0.500, 0.500)
Co (0.000, 0.000, 0.000)
Ba (0.000, 0.000, 0.500)
La (0.000, 0.500, 0.000)
La (0.500, 0.000, 0.000)

Properties
The calculation puts the total magnetization at 0.00 μB/cell. The space group is P4/mmm, No. 123. Its density of states at the Fermi level is 2.85 states/eV/cell.


No. 2
BaLa2CoS: optimized geometry, PBE.

abc: 4.998 6.673 4.998
angles: 90.00 90.00 90.00
Sites, in units of the cell vectors:
S (0.500, 0.500, 0.500)
Co (0.000, 0.000, 0.000)
Ba (0.000, 0.500, 0.000)
La (0.000, 0.000, 0.500)
La (0.500, 0.000, 0.000)

Properties
The calculation puts the total magnetization at 0.00 μB/cell. The space group is P4/mmm, No. 123. The formation energy from raw total energies is -0.38 eV per atom. Its density of states at the Fermi level is 5.33 states/eV/cell.


No. 3
BaLa2CoS5: optimized geometry, PBE.

abc: 8.806 8.806 8.806
angles: 126.07 126.07 79.77
Last column: magnetic moment on the atom in μB.
Sites, in units of the cell vectors:
S (0.492, 0.992, 0.208)  0.10
S (0.216, 0.716, 0.208)  0.10
S (0.508, 0.008, 0.792)  0.10
S (0.008, 0.216, 0.500)  0.10
S (0.716, 0.508, 0.500)  0.10
S (0.992, 0.784, 0.500)  0.10
S (0.284, 0.492, 0.500)  0.10
S (0.784, 0.284, 0.792)  0.10
S (0.500, 0.500, 0.000)  0.04
S (0.000, 0.000, 0.000)  0.04
Co (0.750, 0.250, 0.500)  2.11
Co (0.250, 0.750, 0.500)  2.11
Ba (0.250, 0.250, 0.000)  0.01
Ba (0.750, 0.750, 0.000)  0.01
La (0.336, 0.164, 0.500)  0.04
La (0.164, 0.664, 0.829)  0.04
La (0.836, 0.336, 0.171)  0.04
La (0.664, 0.836, 0.500)  0.04

Properties
The calculation puts the total magnetization at 6.03 μB/cell. The space group is I4/mcm, No. 140. The formation energy from raw total energies is -1.74 eV per atom. Its density of states at the Fermi level is 7.97 states/eV/cell.


No. 4
BaLaSc2Co: optimized geometry, PBE.

abc: 5.284 5.284 5.306
angles: 90.00 90.00 90.00
Sites, in units of the cell vectors:
Sc (0.000, 0.500, 0.000)
Sc (0.500, 0.000, 0.000)
Co (0.000, 0.000, 0.000)
Ba (0.500, 0.500, 0.500)
La (0.000, 0.000, 0.500)

Properties
The calculation puts the total magnetization at 0.00 μB/cell. The space group is P4/mmm, No. 123. Its density of states at the Fermi level is 5.59 states/eV/cell.


No. 5
BaLa2ScCo: optimized geometry, PBE.

abc: 5.531 5.531 5.395
angles: 90.00 90.00 90.00
Sites, in units of the cell vectors:
Sc (0.000, 0.000, 0.500)
Co (0.000, 0.000, 0.000)
Ba (0.500, 0.500, 0.500)
La (0.000, 0.500, 0.000)
La (0.500, 0.000, 0.000)

Properties
The calculation puts the total magnetization at 0.00 μB/cell. The space group is P4/mmm, No. 123. Its density of states at the Fermi level is 6.45 states/eV/cell.


No. 6
BaSr2LaCo: optimized geometry, PBE.

abc: 6.224 6.224 5.292
angles: 90.00 90.00 90.00
Sites, in units of the cell vectors:
Sr (0.000, 0.500, 0.000)
Sr (0.500, 0.000, 0.000)
Co (0.000, 0.000, 0.000)
Ba (0.500, 0.500, 0.500)
La (0.000, 0.000, 0.500)

Properties
The calculation puts the total magnetization at 0.00 μB/cell. The space group is P4/mmm, No. 123. Its density of states at the Fermi level is 5.33 states/eV/cell.


Here are the calculated VASP energy numbers, same order: -23.67, -24.92, -110.36, -26.50, -25.07, -16.81 (eV per cell).